1.
First-principles (PBE) data for LiLa4Be after structural relaxation, as listed in Alexandria via LeMat-Bulk.

The density of states at the Fermi level is 1.292 states/eV per atom. The formation energy is 0.6700 eV/atom. Its symmetry is F-43m. The calculated volume comes out at 32.6 A^3/atom.

abc: 6.515 6.515 6.515
angles: 60.00 60.00 60.00
Positions (direct):
Li (0.000, 0.000, 0.000)
La (0.378, 0.378, 0.378)
La (0.378, 0.378, 0.867)
La (0.378, 0.867, 0.378)
La (0.867, 0.378, 0.378)
Be (0.750, 0.750, 0.750)

=====

2.
First-principles (PBE) data for TiCuSn3 after structural relaxation, as listed in Alexandria via LeMat-Bulk.

The density of states at the Fermi level is 0.914 states/eV per atom. The value obtained for the energy relative to the lowest polymorph listed for this composition is 0.0 kJ per mole of atoms. The formation energy is 0.5585 eV/atom. Its symmetry is Pm-3m. The calculated volume comes out at 29.3 A^3/atom.

abc: 5.273 5.273 5.273
angles: 90.00 90.00 90.00
Positions (direct):
Ti (0.000, 0.000, 0.000)
Cu (0.500, 0.500, 0.500)
Sn (0.000, 0.000, 0.500)
Sn (0.000, 0.500, 0.000)
Sn (0.500, 0.000, 0.000)

=====

3.
First-principles (PBE) data for CsKMgCd2 after structural relaxation, as listed in Alexandria via LeMat-Bulk.

The density of states at the Fermi level is 0.745 states/eV per atom. The formation energy is 0.1358 eV/atom. Its symmetry is P4/mmm. The calculated volume comes out at 43.4 A^3/atom.

abc: 5.773 5.773 6.515
angles: 90.00 90.00 90.00
Positions (direct):
Cs (0.000, 0.000, 0.000)
K (0.500, 0.500, 0.000)
Mg (0.500, 0.500, 0.500)
Cd (0.000, 0.500, 0.500)
Cd (0.500, 0.000, 0.500)